1.
The following is a PBE-GGA calculation of a geometry-optimized Li2SiAu structure, from OQMD via LeMat-Bulk.

The structure in POSCAR format:
```
Li2SiAu
1.0
0.000 3.029 3.029
3.029 0.000 3.029
3.029 3.029 0.000
Li Si Au
2 1 1
Direct
0.000 0.000 0.000
0.750 0.750 0.750
0.500 0.500 0.500
0.250 0.250 0.250
```

- space-group type = F-43m
- energy (eV for the cell shown) = -14.34


2.
The following is a PBE-GGA calculation of a geometry-optimized LiSiSnAu structure, from OQMD via LeMat-Bulk.

The structure in POSCAR format:
```
LiSiSnAu
1.0
-0.386 -4.393 1.616
-3.848 -2.520 -0.945
0.240 -3.626 -2.975
Li Au Sn Si
1 1 1 1
Direct
0.750 0.750 0.750
0.500 0.500 0.500
0.000 0.000 0.000
0.250 0.250 0.250
```

- space-group type = F-43m
- distance to the lowest polymorph of the same formula (eV per atom) = 0.000


3.
The following is a PBE-GGA calculation of a geometry-optimized SrLiSiAu2 structure, from OQMD via LeMat-Bulk.

The structure in POSCAR format:
```
SrLiSiAu2
1.0
-2.184 2.184 5.445
2.184 -2.184 5.445
2.184 2.184 -5.445
Si Li Sr Au
1 1 1 2
Direct
0.500 0.500 0.000
0.000 0.000 0.000
0.750 0.250 0.500
0.380 0.880 0.500
0.120 0.620 0.500
```

- space-group type = I-4m2
- energy (eV for the cell shown) = -18.46


4.
The following is a PBE-GGA calculation of a geometry-optimized LiZnSiAu structure, from OQMD via LeMat-Bulk.

The structure in POSCAR format:
```
LiZnSiAu
1.0
0.000 3.113 3.113
3.113 0.000 3.113
3.113 3.113 0.000
Au Zn Si Li
1 1 1 1
Direct
0.250 0.250 0.250
0.500 0.500 0.500
0.000 0.000 0.000
0.750 0.750 0.750
```

- space-group type = F-43m
- distance to the lowest polymorph of the same formula (eV per atom) = 0.015


5.
The following is a PBE-GGA calculation of a geometry-optimized Li4ZnSiAu2 structure, from OQMD via LeMat-Bulk.

The structure in POSCAR format:
```
Li4ZnSiAu2
1.0
4.346 0.000 0.000
0.000 4.346 0.000
0.000 0.000 6.086
Au Li Si Zn
2 4 1 1
Direct
0.000 0.500 0.767
0.500 0.000 0.233
0.000 0.500 0.250
0.000 0.000 0.500
0.500 0.000 0.750
0.500 0.500 0.000
0.000 0.000 0.000
0.500 0.500 0.500
```

- space-group type = P-4m2
- energy (eV for the cell shown) = -24.46


6.
The following is a PBE-GGA calculation of a geometry-optimized LiZnSiAu structure, from OQMD via LeMat-Bulk.

The structure in POSCAR format:
```
LiZnSiAu
1.0
-0.905 1.089 4.158
-1.379 4.059 0.956
-4.160 0.672 1.238
Au Zn Li Si
1 1 1 1
Direct
0.000 0.000 0.000
0.500 0.500 0.500
0.750 0.750 0.750
0.250 0.250 0.250
```

- space-group type = F-43m
- distance to the lowest polymorph of the same formula (eV per atom) = 0.000